BaLaGe4 after structural relaxation. Source: Alexandria via LeMat-Bulk, functional PBE.

a = 4.633 Å, b = 8.193 Å, c = 17.672 Å
α = 90.00°, β = 90.00°, γ = 90.00°
Sites, in units of the cell vectors:
1 Ba 0.000 0.634 0.342
2 Ba 0.000 0.366 0.658
3 Ba 0.000 0.134 0.158
4 Ba 0.000 0.866 0.842
5 La 0.000 0.633 0.088
6 La 0.000 0.367 0.912
7 La 0.000 0.133 0.412
8 La 0.000 0.867 0.588
9 Ge 0.500 0.798 0.194
10 Ge 0.500 0.202 0.806
11 Ge 0.500 0.298 0.306
12 Ge 0.500 0.702 0.694
13 Ge 0.500 0.885 0.051
14 Ge 0.500 0.115 0.949
15 Ge 0.500 0.385 0.449
16 Ge 0.500 0.615 0.551
17 Ge 0.500 0.869 0.459
18 Ge 0.500 0.131 0.541
19 Ge 0.500 0.369 0.041
20 Ge 0.500 0.631 0.959
21 Ge 0.500 0.985 0.309
22 Ge 0.500 0.015 0.691
23 Ge 0.500 0.485 0.191
24 Ge 0.500 0.515 0.809

Output
DOS(E_F) (states/eV/cell): 11.9
Energy above the lowest structure with this stoichiometry (meV per atom): 0
Calculated volume (Å³/atom): 27.95
Raw total energy (eV per atom): -4.739
Space-group type: Pbam (55)
Energy of formation from the pure elements (meV/atom): -519